1.
Material: Tb4Dy6Mg
Method: DFT, PBE-GGA
State: optimized geometry

Lattice parameters (Å, degrees): 9.669 9.669 9.669 140.89 140.89 56.50
Positions (direct):
Tb  0.145  0.145  0.633
Tb  0.488  0.855  0.000
Tb  0.512  0.512  0.367
Tb  0.855  0.488  0.000
Dy  0.000  0.500  0.500
Dy  0.042  0.693  0.000
Dy  0.307  0.307  0.349
Dy  0.500  0.000  0.500
Dy  0.693  0.042  0.000
Dy  0.958  0.958  0.651
Mg  0.500  0.500  0.000

Summary:
As for the crystal system: tetragonal. The energy of formation comes out at 280 meV/atom. Its raw total energy is -44.7 eV/cell.

=====

2.
Material: CaLaSc2Cl
Method: DFT, PBE-GGA
State: optimized geometry

Lattice parameters (Å, degrees): 5.017 5.017 5.626 90.00 90.00 90.00
Positions (direct):
Ca  0.000  0.000  0.000
La  0.500  0.500  0.000
Sc  0.000  0.500  0.500
Sc  0.500  0.000  0.500
Cl  0.500  0.500  0.500

Summary:
The value obtained for the uncorrected formation energy is -0.3835 eV/atom. As for the crystal system: tetragonal. Its raw total energy is -23.4 eV/cell.

=====

3.
Material: AcSm5Y4
Method: DFT, PBE-GGA
State: optimized geometry

Lattice parameters (Å, degrees): 3.627 9.188 11.286 77.97 89.78 79.32
Positions (direct):
Ac  0.000  0.000  0.000
Sm  0.000  0.000  0.500
Sm  0.337  0.331  0.078
Sm  0.342  0.337  0.481
Sm  0.658  0.663  0.519
Sm  0.663  0.669  0.922
Y  0.162  0.644  0.227
Y  0.483  0.039  0.736
Y  0.517  0.961  0.264
Y  0.838  0.356  0.773

Summary:
As for the crystal system: triclinic. The energy of formation comes out at 240 meV/atom. For the energy above the most stable polymorph in this dataset, the calculation gives 210 meV/atom. Its raw total energy is -51.2 eV/cell.

=====

4.
Material: Ge3RhW
Method: DFT, PBE-GGA
State: optimized geometry

Lattice parameters (Å, degrees): 4.841 4.841 4.841 90.00 90.00 90.00
Positions (direct):
Ge  0.000  0.000  0.500
Ge  0.000  0.500  0.000
Ge  0.500  0.000  0.000
Rh  0.500  0.500  0.500
W  0.000  0.000  0.000

Summary:
As for the crystal system: cubic. The energy of formation comes out at 929 meV/atom. For the energy above the most stable polymorph in this dataset, the calculation gives 0 meV/atom. Its raw total energy is -29.5 eV/cell.

=====

5.
Material: K2RhAu
Method: DFT, PBE-GGA
State: optimized geometry

Lattice parameters (Å, degrees): 5.763 5.763 3.392 90.00 90.00 118.00
Positions (direct):
K  0.000  0.500  0.000
K  0.500  0.000  0.000
Rh  0.000  0.000  0.500
Au  0.500  0.500  0.500

Summary:
As for the crystal system: orthorhombic. The energy of formation comes out at 410 meV/atom. For the energy above the most stable polymorph in this dataset, the calculation gives 261 meV/atom. Its raw total energy is -11.2 eV/cell.

=====

6.
Material: K2TeBr8
Method: DFT, PBE-GGA
State: optimized geometry

Lattice parameters (Å, degrees): 9.584 9.584 7.658 110.94 110.94 75.68
Positions (direct):
K  0.153  0.153  0.114
K  0.847  0.847  0.886
Te  0.000  0.000  0.500
Br  0.145  0.818  0.737
Br  0.182  0.855  0.263
Br  0.201  0.201  0.729
Br  0.499  0.499  0.849
Br  0.501  0.501  0.151
Br  0.799  0.799  0.271
Br  0.818  0.145  0.737
Br  0.855  0.182  0.263

Summary:
The value obtained for the uncorrected formation energy is -0.7415 eV/atom. As for the crystal system: monoclinic. Its raw total energy is -26.9 eV/cell.

=====

Please write out number 3 again, unchanged.
Material: AcSm5Y4
Method: DFT, PBE-GGA
State: optimized geometry

Lattice parameters (Å, degrees): 3.627 9.188 11.286 77.97 89.78 79.32
Positions (direct):
Ac  0.000  0.000  0.000
Sm  0.000  0.000  0.500
Sm  0.337  0.331  0.078
Sm  0.342  0.337  0.481
Sm  0.658  0.663  0.519
Sm  0.663  0.669  0.922
Y  0.162  0.644  0.227
Y  0.483  0.039  0.736
Y  0.517  0.961  0.264
Y  0.838  0.356  0.773

Summary:
As for the crystal system: triclinic. The energy of formation comes out at 240 meV/atom. For the energy above the most stable polymorph in this dataset, the calculation gives 210 meV/atom. Its raw total energy is -51.2 eV/cell.